TlSbIr2 | PBE-GGA | optimized geometry

Total energy (eV for the cell shown): -68.03
V (Å³/cell): 228.4
Energy above the most stable polymorph in this dataset (eV per atom): 0.0675

```
TlSbIr2
1.0
3.246 0.000 0.000
-1.623 2.811 0.000
0.000 0.000 25.031
Tl Sb Ir
3 3 6
Direct
0.000 0.000 0.000
0.333 0.667 0.667
0.667 0.333 0.333
0.000 0.000 0.500
0.333 0.667 0.167
0.667 0.333 0.833
0.000 0.000 0.244
0.000 0.000 0.756
0.333 0.667 0.423
0.333 0.667 0.911
0.667 0.333 0.089
0.667 0.333 0.577
```